# GGA-PBE Na3AcTl2O6, relaxed
data_Na3AcTl2O6
_cell_length_a 15.349
_cell_length_b 3.561
_cell_length_c 6.967
_cell_angle_alpha 90.00
_cell_angle_beta 103.30
_cell_angle_gamma 90.00
_space_group_name_H-M_alt 'C 1 2/m 1'
_space_group_IT_number 12
loop_
_space_group_symop_operation_xyz
'x,y,z'
'-x,-y,-z'
'-x,y,-z'
'x,-y,z'
'x+1/2,y+1/2,z'
'-x+1/2,-y+1/2,-z'
'-x+1/2,y+1/2,-z'
'x+1/2,-y+1/2,z'
loop_
_atom_site_label
_atom_site_type_symbol
_atom_site_fract_x
_atom_site_fract_y
_atom_site_fract_z
Na1 Na 0.000 0.000 0.000
Na2 Na 0.175 0.500 0.327
Ac1 Ac 0.000 0.000 0.500
Tl1 Tl 0.169 0.500 0.839
O1 O 0.008 0.500 0.753
O2 O 0.168 0.000 0.608
O3 O 0.175 0.000 0.066
# Crystal system = monoclinic
# Calculated volume = 370.59 Å³ per cell

# GGA-PBE Na2AcTlO4, relaxed
data_Na2AcTlO4
_cell_length_a 3.704
_cell_length_b 12.916
_cell_length_c 11.323
_cell_angle_alpha 90.00
_cell_angle_beta 90.00
_cell_angle_gamma 90.00
_space_group_name_H-M_alt 'C m c m'
_space_group_IT_number 63
_space_group_name_Hall '-C 2c 2'
loop_
_atom_site_label
_atom_site_type_symbol
_atom_site_fract_x
_atom_site_fract_y
_atom_site_fract_z
Na1 Na 0.000 0.104 0.036
Ac1 Ac 0.000 0.416 0.250
Tl1 Tl 0.000 0.314 0.750
O1 O 0.000 0.080 0.250
O2 O 0.000 0.181 0.634
O3 O 0.000 0.500 0.000
# Crystal system = orthorhombic
# Calculated volume = 541.61 Å³ per cell

# GGA-PBE Na4Ac3TlO8, relaxed
data_Na4Ac3TlO8
_cell_length_a 12.239
_cell_length_b 7.412
_cell_length_c 7.146
_cell_angle_alpha 90.00
_cell_angle_beta 122.64
_cell_angle_gamma 90.00
_space_group_name_H-M_alt 'C 1 2/m 1'
_space_group_IT_number 12
loop_
_space_group_symop_operation_xyz
'x,y,z'
'-x,-y,-z'
'-x,y,-z'
'x,-y,z'
'x+1/2,y+1/2,z'
'-x+1/2,-y+1/2,-z'
'-x+1/2,y+1/2,-z'
'x+1/2,-y+1/2,z'
loop_
_atom_site_label
_atom_site_type_symbol
_atom_site_fract_x
_atom_site_fract_y
_atom_site_fract_z
Na1 Na 0.000 0.000 0.000
Na2 Na 0.000 0.500 0.000
Na3 Na 0.250 0.250 0.500
Ac1 Ac 0.000 0.000 0.500
Ac2 Ac 0.250 0.250 0.000
Tl1 Tl 0.000 0.500 0.500
O1 O 0.005 0.258 0.738
O2 O 0.239 0.000 0.760
O3 O 0.240 0.500 0.749
# Crystal system = monoclinic
# Calculated volume = 545.87 Å³ per cell

# GGA-PBE Na4Ac3TmO8, relaxed
data_Na4Ac3TmO8
_cell_length_a 7.4134
_cell_length_b 7.4134
_cell_length_c 17.0206
_cell_angle_alpha 90.00
_cell_angle_beta 90.00
_cell_angle_gamma 120.00
_space_group_name_H-M_alt 'R -3 m'
_space_group_IT_number 166
_space_group_name_Hall '-R 3 2"'
loop_
_atom_site_label
_atom_site_type_symbol
_atom_site_fract_x
_atom_site_fract_y
_atom_site_fract_z
Na1 Na 0.0000 0.0000 0.0000
Na2 Na 0.0000 0.5000 0.0000
Ac1 Ac 0.0000 0.5000 0.5000
Tm1 Tm 0.0000 0.0000 0.5000
O1 O 0.0000 0.0000 0.2411
O2 O 0.0231 0.5116 0.2380
# Crystal system = trigonal
# Calculated volume = 810.09 Å³ per cell

# GGA-PBE Na3Ac2UO6, relaxed
data_Na3Ac2UO6
_cell_length_a 6.549
_cell_length_b 11.519
_cell_length_c 6.932
_cell_angle_alpha 90.00
_cell_angle_beta 104.81
_cell_angle_gamma 90.00
_space_group_name_H-M_alt 'C 1 2/m 1'
_space_group_IT_number 12
loop_
_space_group_symop_operation_xyz
'x,y,z'
'-x,-y,-z'
'-x,y,-z'
'x,-y,z'
'x+1/2,y+1/2,z'
'-x+1/2,-y+1/2,-z'
'-x+1/2,y+1/2,-z'
'x+1/2,-y+1/2,z'
loop_
_atom_site_label
_atom_site_type_symbol
_atom_site_fract_x
_atom_site_fract_y
_atom_site_fract_z
Na1 Na 0.000 0.000 0.000
Na2 Na 0.000 0.334 0.000
Ac1 Ac 0.000 0.167 0.500
U1 U 0.000 0.500 0.500
O1 O 0.105 0.355 0.347
O2 O 0.160 0.000 0.347
# Crystal system = monoclinic
# Calculated volume = 505.61 Å³ per cell

# GGA-PBE Na2AcUO6, relaxed
data_Na2AcUO6
_cell_length_a 5.975
_cell_length_b 6.149
_cell_length_c 10.427
_cell_angle_alpha 90.00
_cell_angle_beta 124.77
_cell_angle_gamma 90.00
_space_group_name_H-M_alt 'P 1 21/c 1'
_space_group_IT_number 14
loop_
_space_group_symop_operation_xyz
'x,y,z'
'-x,-y,-z'
'-x,y+1/2,-z+1/2'
'x,-y+1/2,z+1/2'
loop_
_atom_site_label
_atom_site_type_symbol
_atom_site_fract_x
_atom_site_fract_y
_atom_site_fract_z
Na1 Na 0.239 0.034 0.238
Ac1 Ac 0.000 0.000 0.500
U1 U 0.500 0.000 0.000
O1 O 0.160 0.164 0.955
O2 O 0.270 0.719 0.927
O3 O 0.385 0.071 0.774
# Crystal system = monoclinic
# Calculated volume = 314.70 Å³ per cell

Summary of formation energy from raw total energies in eV/atom
-1.524 -1.560 -2.114 -2.569 -2.491 -2.587
(order as listed above)
Summary of theoretical density in Mg/m³
7.2 6.6 6.7 6.6 5.6 6.4
(order as listed above)
Summary of calculated total energy in eV/atom
-5.07 -5.18 -5.84 -6.43 -6.93 -7.37
(order as listed above)